No. 1
Crystalline LuTiIr2 at its relaxed geometry, computed with GGA-PBE.

a b c (Å): 4.580 4.580 4.580
angles (deg): 60.00 60.00 60.00
Element x y z (fractional)
Ir 0.250 0.250 0.250
Ir 0.750 0.750 0.750
Lu 0.000 0.000 0.000
Ti 0.500 0.500 0.500

As for the space-group type: Fm-3m, No. 225. As for the energy: -8.317 eV/atom. Its formation energy is -3.13 eV per formula unit. Its density of states at the Fermi level is 0.96 states/eV/atom.

No. 2
Crystalline Lu2TlIr at its relaxed geometry, computed with GGA-PBE.

a b c (Å): 4.994 4.994 4.994
angles (deg): 60.00 60.00 60.00
Element x y z (fractional)
Tl 0.000 0.000 0.000
Ir 0.500 0.500 0.500
Lu 0.250 0.250 0.250
Lu 0.750 0.750 0.750

As for the space-group type: Fm-3m, No. 225. As for the energy: -5.600 eV/atom. Its formation energy is -2.13 eV per formula unit. Its density of states at the Fermi level is 0.30 states/eV/atom.

No. 3
Crystalline Lu2TlIr at its relaxed geometry, computed with GGA-PBE.

a b c (Å): 3.465 3.465 7.482
angles (deg): 90.00 90.00 90.00
Element x y z (fractional)
Tl 0.500 0.500 0.500
Ir 0.500 0.500 0.000
Lu 0.000 0.000 0.787
Lu 0.000 0.000 0.213

As for the space-group type: P4/mmm, No. 123. As for the energy: -5.728 eV/atom. Its formation energy is -2.64 eV per formula unit. Its density of states at the Fermi level is 0.42 states/eV/atom.

No. 4
Crystalline Lu2TlIr at its relaxed geometry, computed with GGA-PBE.

a b c (Å): 3.876 3.876 8.305
angles (deg): 76.51 76.51 60.00
Element x y z (fractional)
Tl 0.500 0.500 0.500
Ir 0.000 0.000 0.000
Lu 0.269 0.269 0.193
Lu 0.731 0.731 0.807

As for the space-group type: R-3m, No. 166. As for the energy: -5.606 eV/atom. Its formation energy is -2.16 eV per formula unit. Its density of states at the Fermi level is 0.36 states/eV/atom.

No. 5
Crystalline YLuTlIr at its relaxed geometry, computed with GGA-PBE.

a b c (Å): 5.051 5.051 5.051
angles (deg): 60.00 60.00 60.00
Element x y z (fractional)
Y 0.750 0.750 0.750
Tl 0.500 0.500 0.500
Ir 0.000 0.000 0.000
Lu 0.250 0.250 0.250

As for the space-group type: F-43m, No. 216. As for the energy: -6.062 eV/atom. Its formation energy is -2.03 eV per formula unit. Its density of states at the Fermi level is 0.39 states/eV/atom.

No. 6
Crystalline TmLuIr at its relaxed geometry, computed with GGA-PBE.

a b c (Å): 4.726 4.726 4.726
angles (deg): 60.00 60.00 60.00
Element x y z (fractional)
Tm 0.000 0.000 0.000
Lu 0.500 0.500 0.500
Ir 0.250 0.250 0.250

As for the space-group type: F-43m, No. 216. As for the energy: -6.735 eV/atom. Its formation energy is -2.35 eV per formula unit. Its density of states at the Fermi level is 0.84 states/eV/atom.